# Li2Ca5Sb5 | Alexandria | PBE-GGA | optimized geometry
# calculated volume	662.7	Å³ per cell
# raw formation energy	-0.859	eV/atom
data_Li2Ca5Sb5
_space_group_name_H-M_alt 'C 1 2/m 1'
_space_group_IT_number 12
_cell_length_a 16.261
_cell_length_b 4.579
_cell_length_c 11.623
_cell_angle_alpha 90.00
_cell_angle_beta 130.03
_cell_angle_gamma 90.00
loop_
_space_group_symop_operation_xyz
'x,y,z'
'-x,-y,-z'
'-x,y,-z'
'x,-y,z'
'x+1/2,y+1/2,z'
'-x+1/2,-y+1/2,-z'
'-x+1/2,y+1/2,-z'
'x+1/2,-y+1/2,z'
loop_
_atom_site_label
_atom_site_fract_x
_atom_site_fract_y
_atom_site_fract_z
Li1 0.141 0.000 0.234
Ca1 0.000 0.500 0.000
Ca2 0.104 0.500 0.415
Ca3 0.187 0.500 0.820
Sb1 0.000 0.000 0.500
Sb2 0.065 0.000 0.868
Sb3 0.247 0.000 0.678